The following is a PBE-GGA calculation of an optimized crystal structure of TaBeH2, from Alexandria.

Summary:
- relative energy among the computed polymorphs (eV per atom) = 0.050
- Fermi-level density of states (states/eV/cell) = 1.25
- size of the total moment (μB per cell) = 0.00

Lattice parameters (Å, degrees): 3.3696 4.8557 4.9276 103.11 110.26 110.45
Closest atoms and distances in Å follow each position.
Fractional positions:
Ta 0.1374 0.2399 0.1741  5 H 1.87-1.97
Ta 0.1163 0.6231 0.7486  6 H 1.85-1.99
Be 0.8688 0.6671 0.2115  1 H 1.53
Be 0.6238 0.9253 0.4491  1 H 1.57
H 0.4224 0.3814 0.6185  3 Ta 1.89-1.99, 2 H 1.90-1.91
H 0.4462 0.0997 0.9451  1 H 1.93, 3 Ta 1.94-1.99
H 0.8698 0.2251 0.7651  1 Be 1.57
H 0.8034 0.7940 0.9517  1 Be 1.53